(1)
Below is Lu2NbBr after structural relaxation, with properties calculated at the PBE level.

It has space group R-3m (No. 166, hexagonal axes), with a = 3.2776 Å, b = 3.2776 Å, c = 31.5588 Å, α = 90.00°, β = 90.00° and γ = 120.00°. The inequivalent atoms are Lu at (0.0000, 0.0000, 0.0913), Nb at (0.0000, 0.0000, 0.0000) and Br at (0.0000, 0.0000, 0.5000).

For the uncorrected formation energy, the calculation gives 0.151 eV/atom.

(2)
Below is Lu2PaBr after structural relaxation, with properties calculated at the PBE level.

It has space group R-3m (No. 166, hexagonal axes), with a = 3.3010 Å, b = 3.3010 Å, c = 33.7136 Å, α = 90.00°, β = 90.00° and γ = 120.00°. The inequivalent atoms are Lu at (0.0000, 0.0000, 0.0961), Pa at (0.0000, 0.0000, 0.0000) and Br at (0.0000, 0.0000, 0.5000).

For the uncorrected formation energy, the calculation gives -0.068 eV/atom.

(3)
Below is PmLuBr2 after structural relaxation, with properties calculated at the PBE level.

It has space group R-3m (No. 166, hexagonal axes), with a = 3.6959 Å, b = 3.6959 Å, c = 29.9493 Å, α = 90.00°, β = 90.00° and γ = 120.00°. The inequivalent atoms are Pm at (0.0000, 0.0000, 0.0000), Lu at (0.0000, 0.0000, 0.5000) and Br at (0.0000, 0.0000, 0.4060).

For the uncorrected formation energy, the calculation gives -1.024 eV/atom.

(4)
Below is Pr2LuBr after structural relaxation, with properties calculated at the PBE level.

It has space group P4/mmm (No. 123), with a = 3.5984 Å, b = 3.5984 Å, c = 9.6693 Å, α = 90.00°, β = 90.00° and γ = 90.00°. The inequivalent atoms are Pr at (0.0000, 0.0000, 0.2351), Lu at (0.5000, 0.5000, 0.5000) and Br at (0.5000, 0.5000, 0.0000).

For the uncorrected formation energy, the calculation gives -0.471 eV/atom.

Please write out number 2 again, unchanged.
Below is Lu2PaBr after structural relaxation, with properties calculated at the PBE level.

It has space group R-3m (No. 166, hexagonal axes), with a = 3.3010 Å, b = 3.3010 Å, c = 33.7136 Å, α = 90.00°, β = 90.00° and γ = 120.00°. The inequivalent atoms are Lu at (0.0000, 0.0000, 0.0961), Pa at (0.0000, 0.0000, 0.0000) and Br at (0.0000, 0.0000, 0.5000).

For the uncorrected formation energy, the calculation gives -0.068 eV/atom.